An optimized crystal structure of AcAsRh2, computed with PBE.

Properties
Formation energy from the elements ... -1.6 eV/f.u.
N(E_F) ... 0.7271 states/eV/atom

```
AcAsRh2
1.0
-3.370 -0.826 1.947
-1.947 -1.178 -3.868
1.379 -4.229 0.593
Rh Ac As
2 1 1
Direct
0.000 0.500 0.000
0.000 0.000 0.500
0.500 0.500 0.500
0.500 0.000 0.000
```